11
Lattice="5.2680 0.0000 0.0000 0.0000 6.7526 -0.1248 -2.6340 -3.0613 8.0384" Properties=species:S:1:pos:R:3 comment="Ho8Al2Co | Alexandria via LeMat-Bulk | PBE | optimized geometry" crystal_system=monoclinic ef_ev_per_atom=-0.163 dos_ef_per_ev_cell=10.91 space_group=C2/m pbc="T T T"
Ho 2.6340 3.1336 4.7219
Ho 0.0000 5.1498 0.1001
Ho 2.6340 5.3781 2.2042
Ho 2.6340 2.1714 1.5325
Ho 0.0000 -1.6867 5.7094
Ho 0.0000 1.5199 6.3811
Ho 0.0000 0.5577 3.1918
Ho 2.6340 -1.4584 7.8135
Co 2.6340 0.0000 0.0000
Al 2.6340 0.0940 5.1094
Al 0.0000 3.5973 2.8042



5
Lattice="-0.9113 -5.3647 2.0972 4.3015 0.7784 3.8601 -3.8309 2.1501 3.8354" Properties=species:S:1:pos:R:3 comment="Na3CaW | Alexandria via LeMat-Bulk | PBE | optimized geometry" de_polymorph_kj_per_mol_fu=0.0 crystal_system=cubic ef_ev_per_atom=1.380 dos_ef_per_ev_cell=3.43 space_group=Pm-3m pbc="T T T"
Na 2.1507 0.3892 1.9300
Na -0.4556 -2.6823 1.0486
Na -1.9154 1.0750 1.9177
W 0.0000 0.0000 0.0000
Ca -0.2203 -1.2181 4.8963



4
Lattice="-2.6185 2.0711 -1.8952 -0.4242 -2.8537 -2.5326 -5.4599 -2.9867 4.2797" Properties=species:S:1:pos:R:3 comment="AcSmAl2 | Alexandria via LeMat-Bulk | PBE | optimized geometry" crystal_system=tetragonal ef_ev_per_atom=-0.293 dos_ef_per_ev_cell=1.80 space_group=P4/mmm pbc="T T T"
Ac -4.2513 -1.8846 -0.0740
Al -1.2044 -0.6588 0.9440
Al -4.2556 -2.3279 3.3357
Sm -1.5213 -0.3913 -2.2139



16
Lattice="-2.0488 7.0469 4.8065 -1.7527 -1.8144 1.9130 7.6313 -3.2505 3.9087" Properties=species:S:1:pos:R:3 comment="Fe2SnPd | Alexandria via LeMat-Bulk | PBE | optimized geometry" crystal_system=monoclinic ef_ev_per_atom=-0.098 dos_ef_per_ev_cell=12.04 space_group=C2/m pbc="T T T"
Sn 5.6609 -0.6541 4.5660
Sn -0.0784 4.4506 4.1492
Sn 2.8610 1.9181 7.0601
Sn 0.9689 0.0640 3.5681
Pd 5.4592 1.4085 6.3375
Pd 0.1233 2.3879 2.3777
Pd 0.7672 2.1266 5.3396
Pd 3.0626 -0.1445 5.2886
Fe 1.1064 -0.1684 0.8540
Fe -2.5516 5.0908 5.1103
Fe 4.4761 3.9648 7.8612
Fe 2.1404 4.3727 6.1082
Fe 6.3815 -3.1087 5.5179
Fe 4.0457 -2.7008 3.7648
Fe -0.2158 4.6829 6.8634
Fe 3.4421 -0.5763 2.6070



14
Lattice="6.3843 0.0000 0.0954 0.0000 6.6790 0.0000 -2.3826 0.0000 7.5120" Properties=species:S:1:pos:R:3 comment="ScAlPbS4 | Alexandria via LeMat-Bulk | PBE | optimized geometry" crystal_system=monoclinic raw_formation_energy_mev_per_atom=-1114 dos_ef_per_ev_cell=0.00 space_group=P2_1/m pbc="T T T"
S 2.3410 1.6698 3.0731
S 2.5821 5.0093 1.1784
S 4.6768 3.3490 5.4511
S -0.6751 0.0094 2.1563
S -0.6751 3.3301 2.1563
S 4.6768 6.6696 5.4511
S 1.6608 5.0093 4.5343
S 1.4196 1.6698 6.4290
Sc 3.9667 5.0093 3.4516
Sc 0.0351 1.6698 4.1558
Pb 1.4206 1.6698 0.4701
Pb 2.5811 5.0093 7.1373
Al 3.2071 1.6698 5.1080
Al 0.7946 5.0093 2.4994



5
Lattice="4.1160 0.0000 0.0000 0.0000 4.1160 0.0000 0.0000 0.0000 4.4593" Properties=species:S:1:pos:R:3 comment="Nb2ZnSnH | Alexandria via LeMat-Bulk | PBE | optimized geometry" crystal_system=tetragonal dos_ef_per_ev_cell=3.85 dft_energy_ev_per_cell=-28.6 space_group=P4/mmm pbc="T T T"
Nb 2.0580 0.0000 0.0000
Nb 0.0000 2.0580 0.0000
Sn 2.0580 2.0580 2.2296
Zn 0.0000 0.0000 2.2296
H 0.0000 0.0000 0.0000



20
Lattice="-5.5129 2.1386 0.7412 -0.9908 -0.8447 -5.8154 -1.8594 -5.5262 1.2320" Properties=species:S:1:pos:R:3 comment="Li3CuF6 | Alexandria via LeMat-Bulk | PBE | optimized geometry" de_polymorph_kj_per_mol_fu=0.9 crystal_system=trigonal raw_formation_energy_mev_per_atom=-2344 space_group=R-3 pbc="T T T"
Cu -4.1815 -2.1162 -1.9211
Cu 0.0000 0.0000 0.0000
Li -2.4753 -2.6012 0.4750
Li -4.9211 -4.8368 -2.8904
Li -1.3894 -1.7010 -2.8801
Li -3.4420 0.6044 -0.9518
Li -5.8878 -1.6312 -4.3173
Li -6.9737 -2.5314 -0.9621
F -3.1339 -0.6742 -2.6383
F -1.9012 -2.2996 -4.9505
F -2.8190 -5.5345 -2.8534
F -3.9583 -1.2312 -0.2305
F -2.4919 -2.9450 -1.5344
F -3.4723 -4.5277 0.9235
F -6.4618 -1.9328 1.1082
F -4.8908 0.2953 -4.7657
F -5.2292 -3.5582 -1.2039
F -4.4048 -3.0012 -3.6117
F -5.8712 -1.2874 -2.3079
F -5.5440 1.3021 -0.9889



26
Lattice="3.2741 0.0000 0.0000 -1.6371 2.8355 0.0000 0.0000 0.0000 31.7858" Properties=species:S:1:pos:R:3 comment="Sc3Al3C2O5 | Alexandria via LeMat-Bulk | PBE | optimized geometry" crystal_system=hexagonal raw_formation_energy_mev_per_atom=-2297 dos_ef_per_ev_cell=0.17 space_group=P6_3/mmc pbc="T T T"
Sc 0.0000 0.0000 0.0000
Sc 1.6371 0.9452 5.0623
Sc 1.6371 0.9452 10.8306
Sc 0.0000 1.8903 20.9552
Sc 0.0000 1.8903 26.7235
Sc 0.0000 0.0000 15.8929
O 1.6371 0.9452 7.9464
O 0.0000 1.8903 11.8494
O 0.0000 0.0000 25.7141
O 0.0000 1.8903 23.8393
O 1.6371 0.9452 19.9364
O 1.6371 0.9452 27.7423
O 0.0000 0.0000 6.0717
O 0.0000 0.0000 21.9646
O 0.0000 0.0000 9.8212
O 0.0000 1.8903 4.0435
C 0.0000 1.8903 30.3236
C 0.0000 1.8903 17.3550
C 1.6371 0.9452 1.4621
C 1.6371 0.9452 14.4307
Al 0.0000 1.8903 2.1837
Al 1.6371 0.9452 18.0766
Al 0.0000 0.0000 7.9464
Al 1.6371 0.9452 29.6021
Al 0.0000 1.8903 13.7092
Al 0.0000 0.0000 23.8393



4
Lattice="-3.4774 1.4092 0.3801 -1.2889 -2.5037 -2.5086 -1.9340 -6.8972 7.8771" Properties=species:S:1:pos:R:3 comment="La2PrEu | Alexandria via LeMat-Bulk | PBE | optimized geometry" de_polymorph_kj_per_mol_fu=2.2 crystal_system=tetragonal ef_ev_per_atom=0.031 dos_ef_per_ev_cell=6.35 space_group=P4/mmm pbc="T T T"
La -1.4743 -5.2576 6.0046
La -0.4598 -1.6396 1.8726
Pr -2.3831 -0.5472 -1.0643
Eu -3.3502 -3.9958 2.8743



8
Lattice="-0.4273 -3.5455 -4.1438 1.4004 -5.2379 0.7265 -8.0744 -4.8277 1.3525" Properties=species:S:1:pos:R:3 comment="Ca2CeDyTl4 | Alexandria via LeMat-Bulk | PBE | optimized geometry" crystal_system=trigonal ef_ev_per_atom=-0.345 dos_ef_per_ev_cell=12.00 space_group=R-3m pbc="T T T"
Ce -3.5507 -6.8055 -1.0324
Ca -5.3440 -10.2124 -1.5433
Ca -1.7573 -3.3987 -0.5216
Tl -4.9611 -4.1234 0.4289
Tl -0.3775 -6.0877 -1.9738
Tl -2.1402 -9.4876 -2.4937
Tl -6.7238 -7.5233 -0.0911
Dy 0.0000 0.0000 0.0000



4
Lattice="-1.0755 2.6021 -1.9016 -3.0912 -0.2655 1.3850 1.8662 4.4368 5.0157" Properties=species:S:1:pos:R:3 comment="ZrNpNb2 | Alexandria via LeMat-Bulk | PBE | optimized geometry" crystal_system=tetragonal ef_ev_per_atom=0.252 dos_ef_per_ev_cell=8.15 space_group=P4/mmm pbc="T T T"
Nb 1.4468 3.4398 3.8886
Nb 0.4194 0.9971 1.1272
Zr -1.1503 3.3867 2.2495
Np -2.0834 1.1683 -0.2583



8
Lattice="3.8549 0.0000 0.0000 0.0000 4.5516 0.0000 0.0000 0.0000 11.7399" Properties=species:S:1:pos:R:3 comment="La4AlCu3 | Alexandria via LeMat-Bulk | PBE | optimized geometry" crystal_system=orthorhombic ef_ev_per_atom=-0.190 dos_ef_per_ev_cell=8.72 space_group=Pmm2 pbc="T T T"
Al 1.9275 2.2758 0.7112
La 0.0000 2.2758 9.9184
La 1.9275 2.2758 4.2496
La 1.9275 0.0000 7.5035
La 0.0000 0.0000 1.8038
Cu 1.9275 0.0000 11.0254
Cu 0.0000 2.2758 6.5875
Cu 0.0000 0.0000 5.1603



12
Lattice="7.1727 0.0000 0.0000 0.0000 8.9977 0.0000 0.0000 -4.4988 8.0330" Properties=species:S:1:pos:R:3 comment="K2CuI2Br | Alexandria via LeMat-Bulk | PBE | optimized geometry" crystal_system=orthorhombic raw_formation_energy_mev_per_atom=-1054 dos_ef_per_ev_cell=0.00 space_group=Cmc2_1 pbc="T T T"
K 1.6950 6.3282 2.4101
K 1.6950 1.8293 5.6229
K 5.2814 2.6695 2.4101
K 5.2814 -1.8294 5.6229
I 5.3134 1.6948 5.8051
I 1.7270 2.8040 2.2280
I 1.7270 -1.6948 5.8051
I 5.3134 6.1936 2.2280
Cu 1.2657 1.4626 0.0000
Cu 4.8520 7.5350 0.0000
Br 6.0439 0.7361 0.0000
Br 2.4575 8.2616 0.0000



5
Lattice="3.8794 0.0000 0.0000 0.0000 5.4103 0.0000 0.0000 0.0000 3.8794" Properties=species:S:1:pos:R:3 comment="HfBe2PbC | Alexandria via LeMat-Bulk | PBE | optimized geometry" crystal_system=tetragonal ef_ev_per_atom=0.915 dos_ef_per_ev_cell=1.55 space_group=P4/mmm pbc="T T T"
Hf 1.9397 2.7052 1.9397
Pb 0.0000 2.7052 0.0000
C 0.0000 0.0000 0.0000
Be 1.9397 0.0000 0.0000
Be 0.0000 0.0000 1.9397



20
Lattice="8.7660 0.0000 0.0000 0.0000 7.6670 0.2130 0.0000 -2.2312 10.1347" Properties=species:S:1:pos:R:3 comment="AcLa3Os | Alexandria via LeMat-Bulk | PBE | optimized geometry" de_polymorph_kj_per_mol_fu=0.0 crystal_system=monoclinic ef_ev_per_atom=-0.054 dos_ef_per_ev_cell=25.68 space_group=P2_1/c pbc="T T T"
La 8.7354 1.2221 1.3613
La 5.6373 6.9260 1.0122
La 3.1287 -1.4901 9.3355
La 4.3524 5.3293 3.9191
La 1.6329 3.4957 5.5084
La 2.7501 4.6113 0.4410
La 7.1331 1.9401 4.8394
La 6.0159 0.8245 9.9067
La 7.5117 5.8104 6.0796
La 0.0306 4.2137 8.9865
La 1.2543 -0.3745 4.2681
La 4.4136 0.1065 6.4286
Ac 4.8575 3.8036 7.5404
Ac 3.9085 1.6323 2.8073
Ac 0.4745 0.5167 7.8747
Ac 8.2915 4.9191 2.4731
Os 6.3141 -0.3372 3.6722
Os 1.9311 6.8886 1.6082
Os 2.4519 5.7730 6.6755
Os 6.8349 -1.4528 8.7396



4
Lattice="-2.5392 2.8611 1.9535 -3.7739 -1.2404 1.6335 -0.5466 -0.1676 4.2570" Properties=species:S:1:pos:R:3 comment="ReNiOs2 | Alexandria via LeMat-Bulk | PBE | optimized geometry" de_polymorph_kj_per_mol_fu=144.3 crystal_system=cubic ef_ev_per_atom=0.476 dos_ef_per_ev_cell=5.70 space_group=F-43m pbc="T T T"
Re -5.1448 1.0898 5.8830
Ni -3.4298 0.7265 3.9220
Os -1.7149 0.3633 1.9610
Os 0.0000 0.0000 0.0000



11
Lattice="5.6913 0.0000 0.0000 -2.8456 5.6124 -0.2120 0.0000 -3.4434 6.0123" Properties=species:S:1:pos:R:3 comment="Ba2ScAu2O6 | Alexandria via LeMat-Bulk | PBE | optimized geometry" crystal_system=monoclinic raw_formation_energy_mev_per_atom=-1655 dos_ef_per_ev_cell=5.54 space_group=C2/m pbc="T T T"
O 1.4394 4.0464 1.1871
O 2.8456 0.3548 3.4737
O 1.4062 -1.8774 4.6132
O 0.0000 1.8142 2.3266
O -1.4394 4.0464 1.1871
O 4.2850 -1.8774 4.6132
Ba 2.8456 1.8005 0.8888
Ba 0.0000 0.3685 4.9116
Au 2.8456 2.2419 4.0928
Au 0.0000 -0.0729 1.7075
Sc 2.8456 -1.7217 3.0062



4
Lattice="0.0000 3.5218 3.5218 3.5218 0.0000 3.5218 3.5218 3.5218 0.0000" Properties=species:S:1:pos:R:3 comment="YSb2Ru | Alexandria via LeMat-Bulk | PBE | optimized geometry" crystal_system=cubic raw_formation_energy_mev_per_atom=-199 dos_ef_per_ev_cell=7.44 space_group=Fm-3m pbc="T T T"
Ru 3.5218 3.5218 3.5218
Y 0.0000 0.0000 0.0000
Sb 5.2826 5.2826 5.2826
Sb 1.7609 1.7609 1.7609



4
Lattice="-2.2761 1.2193 7.1926 0.0004 -5.4545 -2.4569 2.0283 -0.9726 2.1628" Properties=species:S:1:pos:R:3 comment="KMnSb2 | Alexandria via LeMat-Bulk | PBE | optimized geometry" de_polymorph_kj_per_mol_fu=150.7 crystal_system=orthorhombic raw_formation_energy_mev_per_atom=237 dos_ef_per_ev_cell=1.62 space_group=Cmmm pbc="T T T"
Sb -0.1239 0.1234 4.6777
Sb 0.0000 0.0000 0.0000
Mn -1.1378 -2.1176 2.3678
K 1.0144 -3.2135 -0.1471



4
Lattice="3.7834 0.0000 0.0000 0.0000 5.5634 0.0000 0.0000 0.0000 5.2885" Properties=species:S:1:pos:R:3 comment="InSb2Te | Alexandria via LeMat-Bulk | PBE | optimized geometry" de_polymorph_kj_per_mol_fu=78.3 crystal_system=orthorhombic raw_formation_energy_mev_per_atom=116 dos_ef_per_ev_cell=2.52 space_group=Pmmm pbc="T T T"
Te 1.8917 0.0000 2.6442
Sb 0.0000 0.0000 0.0000
Sb 1.8917 2.7817 0.0000
In 0.0000 2.7817 2.6442



12
Lattice="5.5543 0.0000 0.0516 0.0000 3.9850 0.0000 -2.9113 0.0000 8.3129" Properties=species:S:1:pos:R:3 comment="MoRhW | Alexandria via LeMat-Bulk | PBE | optimized geometry" de_polymorph_kj_per_mol_fu=22.1 crystal_system=monoclinic ef_ev_per_atom=0.018 dos_ef_per_ev_cell=13.11 space_group=C2/m pbc="T T T"
Rh -1.5034 1.9925 6.9172
Rh -0.0477 0.0000 2.7608
Rh 4.1463 1.9925 1.4473
Rh 2.6907 0.0000 5.6037
Mo 2.7771 0.0000 0.0258
Mo 0.0000 0.0000 0.0000
Mo 1.3215 1.9925 4.1823
Mo -1.4557 1.9925 4.1564
W 1.3252 1.9925 6.9484
W 1.3178 1.9925 1.4161
W -0.1379 0.0000 5.5726
W 2.7809 0.0000 2.7920



6
Lattice="4.5229 -0.2187 -0.0834 0.2174 4.5227 -0.0846 0.1336 0.1222 7.1376" Properties=species:S:1:pos:R:3 comment="AcTcGe | Alexandria via LeMat-Bulk | PBE | optimized geometry" de_polymorph_kj_per_mol_fu=0.0 crystal_system=tetragonal ef_ev_per_atom=-0.412 dos_ef_per_ev_cell=4.17 space_group=P4/nmm pbc="T T T"
Tc 1.7295 3.9626 6.4645
Tc 3.8822 1.5919 6.4646
Ge 3.8810 3.7528 0.5136
Ge 1.5971 1.6795 5.2778
Ac 1.5292 1.6173 1.5498
Ac 3.9492 3.8148 4.2420



9
Lattice="3.4706 0.0000 0.0000 1.7353 7.2732 1.0660 1.7353 3.1096 6.6608" Properties=species:S:1:pos:R:3 comment="NdPa2Ni6 | Alexandria via LeMat-Bulk | PBE | optimized geometry" de_polymorph_kj_per_mol_fu=32.2 crystal_system=orthorhombic ef_ev_per_atom=-0.258 dos_ef_per_ev_cell=8.45 space_group=Immm pbc="T T T"
Nd 3.4706 5.1914 3.8634
Ni 1.7353 3.8335 5.6881
Ni 5.2059 7.8876 4.1220
Ni 1.7353 4.1695 1.3550
Ni 1.7353 2.4952 3.6049
Ni 1.7353 6.5493 2.0388
Ni 5.2059 6.2132 6.3718
Pa 1.7353 1.5018 1.1177
Pa 5.2059 8.8809 6.6092